VASP calculation (GGA-PBEsol) on a geometry-optimized Tc2MoAs structure.

Values from the calculation:
Volume   57 Å³/cell
Theoretical density   10.7 g/cm³
E_form   -29 meV/atom
Crystal system   orthorhombic

a = 3.0130 Å, b = 4.3346 Å, c = 5.0876 Å
α = 115.21°, β = 107.22°, γ = 90.00°
Element x y z (fractional)
Mo  0.2329  0.7329  0.4658
Tc  0.7676  0.2676  0.5351
Tc  0.0026  0.0026  0.0051
As  0.4970  0.4970  0.9939